(1)
A plane-wave DFT calculation with GGA-PBE was carried out for a relaxed CsPmAuO3 crystal.

The uncorrected formation energy comes out at -1.612 eV/atom.

It has space group P2_1/m (No. 11), with a = 7.659 Å, b = 3.598 Å, c = 10.368 Å, α = 90.00°, β = 108.64° and γ = 90.00°. Symmetry generates all atoms from Cs at (0.035, 0.250, 0.288), Pm at (0.434, 0.750, 0.632), Au at (0.424, 0.750, 0.059), O at (0.244, 0.250, 0.632), O at (0.347, 0.250, 0.130) and O at (0.377, 0.750, 0.398).

=====

(2)
A plane-wave DFT calculation with GGA-PBE was carried out for a relaxed CsPr2AuO5 crystal.

The uncorrected formation energy comes out at -2.123 eV/atom.

It has space group P4/mbm (No. 127), with a = 6.997 Å, b = 6.997 Å, c = 6.095 Å, α = 90.00°, β = 90.00° and γ = 90.00°. Symmetry generates all atoms from Cs at (0.000, 0.000, 0.000), Pr at (0.179, 0.321, 0.500), Au at (0.000, 0.500, 0.000), O at (0.000, 0.000, 0.500) and O at (0.130, 0.630, 0.260).

=====

(3)
A plane-wave DFT calculation with GGA-PBE was carried out for a relaxed Cs2PtAuO crystal.

The uncorrected formation energy comes out at -0.555 eV/atom.

It has space group P4/mmm (No. 123), with a = 6.490 Å, b = 6.490 Å, c = 3.831 Å, α = 90.00°, β = 90.00° and γ = 90.00°. Symmetry generates all atoms from Cs at (0.000, 0.500, 0.000), Pt at (0.000, 0.000, 0.500), Au at (0.500, 0.500, 0.500) and O at (0.000, 0.000, 0.000).

=====

(4)
A plane-wave DFT calculation with GGA-PBE was carried out for a relaxed Cs8PtAu2O crystal.

The uncorrected formation energy comes out at -0.345 eV/atom.

It has space group P2/m (No. 10), with a = 8.190 Å, b = 10.027 Å, c = 8.212 Å, α = 90.00°, β = 90.42° and γ = 90.00°. Symmetry generates all atoms from Cs at (0.180, 0.217, 0.168), Cs at (0.250, 0.000, 0.737), Cs at (0.279, 0.500, 0.700), Pt at (0.000, 0.500, 0.000), Au at (0.500, 0.238, 0.500) and O at (0.000, 0.000, 0.000).

=====

(5)
A plane-wave DFT calculation with GGA-PBE was carried out for a relaxed Cs2PtAuO4 crystal.

The uncorrected formation energy comes out at -0.772 eV/atom.

It has space group Fddd (No. 70, origin choice 2), with a = 6.136 Å, b = 14.272 Å, c = 21.375 Å, α = 90.00°, β = 90.00° and γ = 90.00°. Symmetry generates all atoms from Cs at (0.125, 0.125, 0.295), Pt at (0.125, 0.125, 0.625), Au at (0.125, 0.125, 0.125) and O at (0.124, 0.283, 0.874).

=====

(6)
A plane-wave DFT calculation with GGA-PBE was carried out for a relaxed Cs2PuAu2O6 crystal.

The uncorrected formation energy comes out at -1.324 eV/atom.

It has space group R-3m (No. 166, hexagonal axes), with a = 6.4593 Å, b = 6.4593 Å, c = 18.3051 Å, α = 90.00°, β = 90.00° and γ = 120.00°. Symmetry generates all atoms from Cs at (0.0000, 0.0000, 0.2175), Pu at (0.0000, 0.0000, 0.0000), Au at (0.0000, 0.0000, 0.4088) and O at (0.0441, 0.5220, 0.7345).

=====

(7)
A plane-wave DFT calculation with GGA-PBE was carried out for a relaxed Cs2PuAuO6 crystal.

The uncorrected formation energy comes out at -1.648 eV/atom.

It has space group I4/mmm (No. 139), with a = 5.825 Å, b = 5.825 Å, c = 11.181 Å, α = 90.00°, β = 90.00° and γ = 90.00°. Symmetry generates all atoms from Cs at (0.000, 0.500, 0.250), Pu at (0.000, 0.000, 0.000), Au at (0.000, 0.000, 0.500), O at (0.000, 0.000, 0.167) and O at (0.244, 0.244, 0.500).

=====

(8)
A plane-wave DFT calculation with GGA-PBE was carried out for a relaxed Cs3Pu2AuO9 crystal.

The uncorrected formation energy comes out at -1.850 eV/atom.

It has space group P-3m1 (No. 164), with a = 6.2751 Å, b = 6.2751 Å, c = 7.7945 Å, α = 90.00°, β = 90.00° and γ = 120.00°. Symmetry generates all atoms from Cs at (0.0000, 0.0000, 0.0000), Cs at (0.3333, 0.6667, 0.6482), Pu at (0.3333, 0.6667, 0.1528), Au at (0.0000, 0.0000, 0.5000), O at (0.0000, 0.5000, 0.0000) and O at (0.1870, 0.3741, 0.2985).